[1]
# Pm3Tl2, optimized geometry, DFT PBE-GGA
data_Pm3Tl2
_chemical_formula_sum 'Pm12 Tl8'
_cell_length_a 12.641
_cell_length_b 5.409
_cell_length_c 9.349
_cell_angle_alpha 90.00
_cell_angle_beta 90.00
_cell_angle_gamma 90.00
_space_group_name_H-M_alt 'P n m a'
_space_group_IT_number 62
loop_
_space_group_symop_operation_xyz
'x,y,z'
'-x,-y,-z'
'-x+1/2,-y,z+1/2'
'x+1/2,y,-z+1/2'
'x+1/2,-y+1/2,-z+1/2'
'-x+1/2,y+1/2,z+1/2'
'-x,y+1/2,-z'
'x,-y+1/2,z'
loop_
_atom_site_label
_atom_site_type_symbol
_atom_site_fract_x
_atom_site_fract_y
_atom_site_fract_z
_atom_site_occupancy
Pm1 Pm 0.089 0.250 0.084 1
Pm2 Pm 0.090 0.750 0.583 1
Pm3 Pm 0.250 0.250 0.750 1
Tl1 Tl 0.000 0.250 0.750 1
Tl2 Tl 0.248 0.750 0.917 1
# crystal system = orthorhombic
# magnetic moment = 0.000 μB/atom
# calculated volume = 31.97 Å³/atom
# formation energy from the elements = -0.237 eV/atom


[2]
# BaInSN2, optimized geometry, DFT PBE-GGA
data_BaInSN2
_chemical_formula_sum 'Ba1 In1 S1 N2'
_cell_length_a 4.480
_cell_length_b 4.480
_cell_length_c 5.261
_cell_angle_alpha 90.00
_cell_angle_beta 90.00
_cell_angle_gamma 90.00
_space_group_name_H-M_alt 'P 4/m m m'
_space_group_IT_number 123
_space_group_name_Hall '-P 4 2'
loop_
_atom_site_label
_atom_site_type_symbol
_atom_site_fract_x
_atom_site_fract_y
_atom_site_fract_z
_atom_site_occupancy
Ba1 Ba 0.000 0.000 0.000 1
In1 In 0.500 0.500 0.500 1
S1 S 0.500 0.500 0.000 1
N1 N 0.000 0.500 0.500 1
# crystal system = tetragonal
# raw formation energy = 0.32 eV/atom
# magnetic moment = 0.600 μB/atom
# polymorph energy (0 for the lowest one) = 0.00 eV/f.u.
# calculated volume = 21.12 Å³/atom


[3]
# CsRbTlBi, optimized geometry, DFT PBE-GGA
data_CsRbTlBi
_chemical_formula_sum 'Cs4 Rb4 Tl4 Bi4'
_cell_length_a 8.796
_cell_length_b 8.796
_cell_length_c 8.796
_cell_angle_alpha 90.00
_cell_angle_beta 90.00
_cell_angle_gamma 90.00
_space_group_name_H-M_alt 'F -4 3 m'
_space_group_IT_number 216
_space_group_name_Hall 'F -4 2 3'
loop_
_atom_site_label
_atom_site_type_symbol
_atom_site_fract_x
_atom_site_fract_y
_atom_site_fract_z
_atom_site_occupancy
Cs1 Cs 0.000 0.000 0.000 1
Rb1 Rb 0.250 0.250 0.250 1
Tl1 Tl 0.250 0.250 0.750 1
Bi1 Bi 0.000 0.000 0.500 1
# crystal system = cubic
# magnetic moment = 0.000 μB/atom
# polymorph energy (0 for the lowest one) = 0.21 eV/f.u.
# calculated volume = 42.54 Å³/atom
# formation energy from the elements = -0.233 eV/atom


[4]
# Ca3Cu2Br8, optimized geometry, DFT PBE-GGA
data_Ca3Cu2Br8
_chemical_formula_sum 'Ca6 Cu4 Br16'
_cell_length_a 14.976
_cell_length_b 8.363
_cell_length_c 7.240
_cell_angle_alpha 90.00
_cell_angle_beta 108.75
_cell_angle_gamma 90.00
_space_group_name_H-M_alt 'C 1 2/m 1'
_space_group_IT_number 12
loop_
_space_group_symop_operation_xyz
'x,y,z'
'-x,-y,-z'
'-x,y,-z'
'x,-y,z'
'x+1/2,y+1/2,z'
'-x+1/2,-y+1/2,-z'
'-x+1/2,y+1/2,-z'
'x+1/2,-y+1/2,z'
loop_
_atom_site_label
_atom_site_type_symbol
_atom_site_fract_x
_atom_site_fract_y
_atom_site_fract_z
_atom_site_occupancy
Ca1 Ca 0.000 0.000 0.000 1
Ca2 Ca 0.000 0.256 0.500 1
Cu1 Cu 0.094 0.500 0.062 1
Br1 Br 0.111 0.000 0.738 1
Br2 Br 0.117 0.252 0.244 1
Br3 Br 0.119 0.500 0.748 1
# crystal system = monoclinic
# raw formation energy = -1.48 eV/atom
# magnetic moment = 0.021 μB/atom
# calculated volume = 33.02 Å³/atom